Entry 1:
# Bi2RuCl GGA-PBE optimized geometry
# Relative energy among the computed polymorphs   0 meV per atom
# Uncorrected formation energy   0.228 eV per atom
data_Bi2RuCl
_chemical_formula_sum 'Bi8 Ru4 Cl4'
_space_group_name_H-M_alt 'I -4 2 d'
_space_group_IT_number 122
_space_group_name_Hall 'I -4 2bw'
_cell_length_a 6.384
_cell_length_b 6.384
_cell_length_c 13.493
_cell_angle_alpha 90.00
_cell_angle_beta 90.00
_cell_angle_gamma 90.00
loop_
_atom_site_label
_atom_site_fract_x
_atom_site_fract_y
_atom_site_fract_z
Bi1 0.174 0.250 0.125
Ru1 0.000 0.000 0.000
Cl1 0.000 0.000 0.500

Entry 2:
# Rb2TiH GGA-PBE optimized geometry
# Relative energy among the computed polymorphs   0 meV per atom
data_Rb2TiH
_chemical_formula_sum 'Rb8 Ti4 H4'
_space_group_name_H-M_alt 'I -4 2 d'
_space_group_IT_number 122
_space_group_name_Hall 'I -4 2bw'
_cell_length_a 13.149
_cell_length_b 13.149
_cell_length_c 3.808
_cell_angle_alpha 90.00
_cell_angle_beta 90.00
_cell_angle_gamma 90.00
loop_
_atom_site_label
_atom_site_fract_x
_atom_site_fract_y
_atom_site_fract_z
Rb1 0.073 0.250 0.125
Ti1 0.000 0.000 0.500
H1 0.000 0.000 0.000